(1)
DFT (PBE) results for crystalline Cs2PmZn2Se4 at its relaxed geometry.

Output
- D(E_F) (states/eV/f.u.) = 3.880
- formation energy from raw total energies (eV/atom) = -1.1060
- volume (Å³/cell) = 283.9

The structure in POSCAR format:
```
Cs2PmZn2Se4
1.0
4.408 0.000 0.000
0.000 8.431 0.379
-2.204 -2.991 7.506
Cs Zn Se Pm
2 2 4 1
Direct
0.132 0.556 0.265
0.868 0.444 0.735
0.675 0.989 0.350
0.325 0.011 0.650
0.476 0.222 0.951
0.198 0.155 0.396
0.802 0.845 0.604
0.524 0.778 0.049
0.000 0.000 0.000
```



(2)
DFT (PBE) results for crystalline Cs3PmSm3Te8 at its relaxed geometry.

Output
- D(E_F) (states/eV/f.u.) = 8.879
- formation energy from raw total energies (eV/atom) = -1.3371
- volume (Å³/cell) = 653.1

The structure in POSCAR format:
```
Cs3PmSm3Te8
1.0
9.051 0.001 0.001
-4.525 7.841 -0.038
0.000 -5.188 9.227
Sm Cs Te Pm
3 3 8 1
Direct
0.500 0.000 0.500
0.000 0.500 0.500
0.500 0.500 0.500
0.500 0.500 0.000
0.000 0.000 0.000
0.000 0.500 0.000
0.233 0.961 0.693
0.269 0.537 0.306
0.272 0.039 0.307
0.233 0.465 0.693
0.767 0.535 0.307
0.731 0.463 0.694
0.767 0.039 0.307
0.728 0.961 0.693
0.000 0.000 0.500
```



(3)
DFT (PBE) results for crystalline Cs4PmSm3Te8 at its relaxed geometry.

Output
- formation energy from raw total energies (eV/atom) = -1.4082
- volume (Å³/cell) = 665.6

The structure in POSCAR format:
```
Cs4PmSm3Te8
1.0
-0.052 -1.368 -9.170
-7.787 -6.846 1.065
-1.469 8.489 3.429
Cs Te Sm Pm
4 8 3 1
Direct
0.500 0.000 0.000
0.000 0.000 0.500
0.500 0.000 0.500
0.000 0.000 0.000
0.768 0.307 0.537
0.269 0.307 0.538
0.232 0.693 0.463
0.270 0.307 0.038
0.768 0.307 0.038
0.232 0.693 0.962
0.731 0.693 0.462
0.730 0.693 0.962
0.500 0.500 0.500
0.500 0.500 0.000
0.000 0.500 0.500
0.000 0.500 0.000
```



(4)
DFT (PBE) results for crystalline Cs4Pm3SmTe8 at its relaxed geometry.

Output
- formation energy from raw total energies (eV/atom) = -1.4108
- volume (Å³/cell) = 668.7

The structure in POSCAR format:
```
Cs4Pm3SmTe8
1.0
-3.792 8.341 1.542
-9.363 -4.462 1.110
6.763 -3.126 5.552
Te Cs Pm Sm
8 4 3 1
Direct
0.268 0.306 0.037
0.269 0.306 0.537
0.732 0.694 0.963
0.769 0.306 0.037
0.231 0.694 0.461
0.731 0.694 0.463
0.769 0.306 0.539
0.231 0.694 0.963
0.000 0.000 0.000
0.500 0.000 0.000
0.000 0.000 0.500
0.500 0.000 0.500
0.500 0.500 0.500
0.500 0.500 0.000
0.000 0.500 0.500
0.000 0.500 0.000
```



(5)
DFT (PBE) results for crystalline Cs3Pm3SmTe8 at its relaxed geometry.

Output
- D(E_F) (states/eV/f.u.) = 9.234
- formation energy from raw total energies (eV/atom) = -1.3385
- volume (Å³/cell) = 657.4

The structure in POSCAR format:
```
Cs3Pm3SmTe8
1.0
-2.600 3.196 8.089
-5.881 -0.173 -6.913
2.121 -9.407 4.397
Te Pm Sm Cs
8 3 1 3
Direct
0.231 0.962 0.693
0.269 0.038 0.307
0.732 0.463 0.695
0.769 0.038 0.307
0.731 0.962 0.693
0.268 0.537 0.305
0.231 0.463 0.693
0.769 0.537 0.307
0.500 0.500 0.500
0.500 0.000 0.500
0.000 0.500 0.500
0.000 0.000 0.500
0.000 0.000 0.000
0.000 0.500 0.000
0.500 0.500 0.000
```



(6)
DFT (PBE) results for crystalline Cs3Pm2SmTe6 at its relaxed geometry.

Output
- formation energy from raw total energies (eV/atom) = -1.4105
- volume (Å³/cell) = 501.1

The structure in POSCAR format:
```
Cs3Pm2SmTe6
1.0
-7.087 -3.771 -0.505
3.654 0.757 7.126
-3.083 8.770 -0.866
Sm Te Cs Pm
1 6 3 2
Direct
0.000 0.000 0.000
0.732 0.732 0.194
0.064 0.397 0.194
0.936 0.603 0.806
0.397 0.064 0.194
0.268 0.268 0.806
0.603 0.936 0.806
0.833 0.167 0.500
0.500 0.500 0.500
0.167 0.833 0.500
0.333 0.667 0.000
0.667 0.333 0.000
```



(7)
DFT (PBE) results for crystalline CsPm4Sn5 at its relaxed geometry.

Output
- D(E_F) (states/eV/f.u.) = 7.719
- E_tot (Ry/atom) = -0.3333
- volume (Å³/cell) = 319.8

The structure in POSCAR format:
```
CsPm4Sn5
1.0
-2.716 -0.962 2.994
-1.574 -3.009 -2.395
12.133 -12.031 7.140
Sn Pm Cs
5 4 1
Direct
0.500 0.500 0.683
0.500 0.500 0.317
0.500 0.500 0.849
0.500 0.500 0.151
0.500 0.500 0.500
0.000 0.000 0.410
0.000 0.000 0.775
0.000 0.000 0.225
0.000 0.000 0.590
0.000 0.000 0.000
```



(8)
DFT (PBE) results for crystalline CsPmSn4 at its relaxed geometry.

Output
- D(E_F) (states/eV/f.u.) = 7.135
- E_tot (Ry/atom) = -0.2818
- volume (Å³/cell) = 221.5

The structure in POSCAR format:
```
CsPmSn4
1.0
5.016 0.000 0.000
-2.508 4.344 0.000
0.000 0.000 10.166
Sn Pm Cs
4 1 1
Direct
0.667 0.333 0.798
0.333 0.667 0.202
0.333 0.667 0.798
0.667 0.333 0.202
0.000 0.000 0.000
0.000 0.000 0.500
```



(9)
DFT (PBE) results for crystalline CsPm2Sn3Te6 at its relaxed geometry.

Output
- D(E_F) (states/eV/f.u.) = 2.854
- formation energy from raw total energies (eV/atom) = -0.7457
- volume (Å³/cell) = 470.6

The structure in POSCAR format:
```
CsPm2Sn3Te6
1.0
-2.567 -4.018 0.631
2.716 -0.251 9.460
-7.028 7.500 0.830
Sn Cs Te Pm
3 1 6 2
Direct
0.500 0.500 0.000
0.835 0.230 0.670
0.165 0.770 0.330
0.500 0.000 0.000
0.020 0.297 0.040
0.688 0.148 0.376
0.312 0.852 0.624
0.337 0.420 0.674
0.980 0.703 0.960
0.663 0.580 0.326
0.827 0.651 0.655
0.173 0.349 0.345
```



(10)
DFT (PBE) results for crystalline Cs3Pm3SnTe8 at its relaxed geometry.

Output
- D(E_F) (states/eV/f.u.) = 3.797
- formation energy from raw total energies (eV/atom) = -1.1175
- volume (Å³/cell) = 656.7

The structure in POSCAR format:
```
Cs3Pm3SnTe8
1.0
9.068 0.000 0.000
-4.534 7.871 -0.037
0.000 -5.212 9.225
Te Cs Pm Sn
8 3 3 1
Direct
0.777 0.036 0.312
0.776 0.553 0.312
0.223 0.964 0.688
0.732 0.463 0.695
0.224 0.447 0.688
0.741 0.964 0.688
0.259 0.036 0.312
0.268 0.537 0.305
0.500 0.500 0.000
0.000 0.500 0.000
0.000 0.000 0.000
0.500 0.000 0.500
0.000 0.500 0.500
0.500 0.500 0.500
0.000 0.000 0.500
```



(11)
DFT (PBE) results for crystalline Cs3TbPm3Te8 at its relaxed geometry.

Output
- D(E_F) (states/eV/f.u.) = 8.950
- formation energy from raw total energies (eV/atom) = -1.3365
- volume (Å³/cell) = 653.3

The structure in POSCAR format:
```
Cs3TbPm3Te8
1.0
9.043 0.001 0.000
-4.521 7.832 -0.040
0.000 -5.183 9.250
Cs Te Tb Pm
3 8 1 3
Direct
0.000 0.500 0.000
0.500 0.500 0.000
0.000 0.000 0.000
0.268 0.536 0.305
0.265 0.037 0.308
0.229 0.458 0.692
0.771 0.542 0.308
0.732 0.464 0.695
0.735 0.963 0.692
0.771 0.037 0.308
0.229 0.963 0.692
0.000 0.000 0.500
0.500 0.500 0.500
0.000 0.500 0.500
0.500 0.000 0.500
```



(12)
DFT (PBE) results for crystalline Cs3TbPm2Te6 at its relaxed geometry.

Output
- formation energy from raw total energies (eV/atom) = -1.4054
- volume (Å³/cell) = 496.4

The structure in POSCAR format:
```
Cs3TbPm2Te6
1.0
-5.756 -5.518 0.757
5.037 1.392 6.069
-5.318 7.609 0.908
Pm Cs Tb Te
2 3 1 6
Direct
0.333 0.667 0.000
0.667 0.333 0.000
0.500 0.500 0.500
0.168 0.832 0.500
0.832 0.168 0.500
0.000 0.000 0.000
0.736 0.736 0.193
0.264 0.264 0.807
0.936 0.607 0.808
0.064 0.393 0.192
0.607 0.936 0.808
0.393 0.064 0.192
```